[1]
Material: PmUAu
Method: DFT, PBE
State: optimized geometry

abc: 6.921 6.921 6.921
angles: 90.00 90.00 90.00
Space group F-43m (No. 216)
Symmetry-distinct sites (fractional):
Pm (0.000, 0.000, 0.000) x4
U (0.250, 0.250, 0.750) x4
Au (0.000, 0.000, 0.500) x4

Results
As for the formation energy: 1.6 eV per formula unit. The value obtained for the total energy is -5.90 eV per atom.

***

[2]
Material: BaCuSnAu
Method: DFT, PBE
State: optimized geometry

abc: 7.430 7.430 7.430
angles: 90.00 90.00 90.00
Space group F-43m (No. 216)
Symmetry-distinct sites (fractional):
Ba (0.000, 0.000, 0.000) x4
Cu (0.000, 0.000, 0.500) x4
Sn (0.250, 0.250, 0.250) x4
Au (0.250, 0.250, 0.750) x4

Results
The value obtained for the total energy is -3.23 eV per atom.

***

[3]
Material: CoHgBiIr
Method: DFT, PBE
State: optimized geometry

abc: 6.601 6.601 6.601
angles: 90.00 90.00 90.00
Space group F-43m (No. 216)
Symmetry-distinct sites (fractional):
Co (0.000, 0.000, 0.000) x4
Hg (0.250, 0.250, 0.250) x4
Bi (0.250, 0.250, 0.750) x4
Ir (0.000, 0.000, 0.500) x4

Results
The value obtained for the total energy is -4.56 eV per atom.